First-principles (GGA-PBEsol) data for BaTl2Os after structural relaxation, as listed in the Alexandria database.

a = 4.6844 Å, b = 4.6844 Å, c = 17.8867 Å
α = 90.00°, β = 90.00°, γ = 120.00°
Last column: nearest neighbours and their distance in Å.
Space group R3m (No. 160, hexagonal axes)
Symmetry-distinct sites (fractional):
Ba: 0.0000 0.0000 0.0000 [3 per cell]  1 Os 3.31, 7 Tl 3.44-3.70
Tl: 0.0000 0.0000 0.2069 [3 per cell]  3 Os 2.90, 3 Tl 3.13
Tl: 0.0000 0.0000 0.4518 [3 per cell]  3 Os 2.76
Os: 0.0000 0.0000 0.8152 [3 per cell]  6 Tl 2.76-2.90

Results
energy relative to the elements	0.38	eV/atom
M_tot	0.00	μB/cell
crystal system	trigonal